No. 1
Material: TiCdNO2
Method: DFT, PBE-GGA
State: optimized geometry

Results
**Energy**: -6.534 eV/atom
**Energy relative to the elements, uncorrected**: -1.12 eV/atom
**Magnetic moment**: 1.0 μB per cell

Cell lengths 3.8668, 3.8668, 4.0629 Å; angles 90.00, 90.00, 90.00 degrees
Closest atoms and distances in Å follow each position.
Space group P4/mmm (No. 123)
Unique sites:
Ti (0.0000, 0.0000, 0.0000) [1 per cell]  4 O 1.93, 2 N 2.03
Cd (0.5000, 0.5000, 0.5000) [1 per cell]  4 N 2.73, 8 O 2.80
N (0.0000, 0.0000, 0.5000) [1 per cell]  2 Ti 2.03
O (0.0000, 0.5000, 0.0000) [2 per cell]  2 Ti 1.93

No. 2
Material: SrCaAcAl
Method: DFT, PBE-GGA
State: optimized geometry

Results
**Energy**: -2.873 eV/atom
**ΔH_f (0 K)**: 10 meV per atom
**Magnetic moment**: 0.0 μB per cell

Cell lengths 8.3036, 8.3036, 8.3036 Å; angles 90.00, 90.00, 90.00 degrees
Closest atoms and distances in Å follow each position.
Space group F-43m (No. 216)
Unique sites:
Sr (0.0000, 0.0000, 0.0000) [4 per cell]  4 Ca 3.60, 4 Al 3.60
Ca (0.2500, 0.2500, 0.7500) [4 per cell]  4 Ac 3.60, 4 Sr 3.60
Ac (0.0000, 0.0000, 0.5000) [4 per cell]  4 Ca 3.60, 4 Al 3.60
Al (0.2500, 0.2500, 0.2500) [4 per cell]  4 Ac 3.60, 4 Sr 3.60

No. 3
Material: CeTmSiSe
Method: DFT, PBE-GGA
State: optimized geometry

Results
**Energy**: -6.061 eV/atom
**Energy relative to the elements, uncorrected**: -1.23 eV/atom
**Magnetic moment**: 1.7 μB per cell

Cell lengths 4.1303, 4.1303, 20.2967 Å; angles 90.00, 90.00, 120.00 degrees
Closest atoms and distances in Å follow each position.
Space group R3m (No. 160, hexagonal axes)
Unique sites:
Ce (0.0000, 0.0000, 0.0000) [3 per cell]  3 Si 2.89, 3 Se 3.02
Tm (0.0000, 0.0000, 0.5081) [3 per cell]  3 Si 2.86, 3 Se 2.92
Si (0.0000, 0.0000, 0.2526) [3 per cell]  3 Tm 2.86, 3 Ce 2.89
Se (0.0000, 0.0000, 0.7580) [3 per cell]  3 Tm 2.92, 3 Ce 3.02